The following is a PBE-GGA calculation of a relaxed structure of Li3Co, from Alexandria via LeMat-Bulk.

Structure (POSCAR):
```
Li3Co
1.0
8.1409 0.0000 0.0000
0.0000 7.1063 0.0000
0.0000 0.0000 4.0458
Li Co
12 4
Direct
0.0000 0.1781 0.2500 Li
0.0000 0.8219 0.7500 Li
0.2364 0.1252 0.7500 Li
0.2364 0.8748 0.2500 Li
0.2636 0.3748 0.2500 Li
0.2636 0.6252 0.7500 Li
0.5000 0.3219 0.7500 Li
0.5000 0.6781 0.2500 Li
0.7364 0.3748 0.2500 Li
0.7364 0.6252 0.7500 Li
0.7636 0.1252 0.7500 Li
0.7636 0.8748 0.2500 Li
0.0000 0.4274 0.7500 Co
0.0000 0.5726 0.2500 Co
0.5000 0.0726 0.2500 Co
0.5000 0.9274 0.7500 Co
```

Summary:
Crystal system ... orthorhombic
ΔE_f ... 0.168 eV per atom
Space-group type ... No. 63
Density of states at the Fermi level ... 12.77 states/eV per cell
DFT total energy ... -3.044 eV per atom

---

The following is a PBE-GGA calculation of a relaxed structure of PrSmInPb, from Alexandria via LeMat-Bulk.

Structure (POSCAR):
```
PrSmInPb
1.0
4.4577 0.0000 0.0000
0.0000 4.7249 0.0000
0.0000 0.0000 11.8830
Pr Sm In Pb
2 2 2 2
Direct
0.0000 0.0000 0.0000 Pr
0.0000 0.5000 0.5000 Pr
0.5000 0.0000 0.2723 Sm
0.5000 0.5000 0.7723 Sm
0.5000 0.0000 0.5478 In
0.5000 0.5000 0.0478 In
0.0000 0.0000 0.7235 Pb
0.0000 0.5000 0.2235 Pb
```

Summary:
Crystal system ... orthorhombic
ΔE_f ... -0.523 eV per atom
Space-group type ... No. 38
Density of states at the Fermi level ... 8.14 states/eV per cell
DFT total energy ... -4.509 eV per atom

---

The following is a PBE-GGA calculation of a relaxed structure of RbLiCdSe, from Alexandria via LeMat-Bulk.

Structure (POSCAR):
```
RbLiCdSe
1.0
4.3487 0.0000 0.0000
0.0000 4.3487 0.0000
0.0000 0.0000 13.1799
Rb Li Cd Se
2 2 2 2
Direct
0.2500 0.2500 0.2188 Rb
0.7500 0.7500 0.7812 Rb
0.2500 0.7500 0.0000 Li
0.7500 0.2500 0.0000 Li
0.2500 0.7500 0.5000 Cd
0.7500 0.2500 0.5000 Cd
0.2500 0.2500 0.8903 Se
0.7500 0.7500 0.1097 Se
```

Summary:
Crystal system ... tetragonal
Space-group type ... No. 129
Density of states at the Fermi level ... 2.95 states/eV per cell
DFT total energy ... -2.588 eV per atom

---

The following is a PBE-GGA calculation of a relaxed structure of LaCr3Cd, from Alexandria via LeMat-Bulk.

Structure (POSCAR):
```
LaCr3Cd
1.0
4.8447 0.0000 0.0000
0.0000 4.8447 0.0000
0.0000 0.0000 4.8447
La Cr Cd
1 3 1
Direct
0.0000 0.0000 0.0000 La
0.0000 0.5000 0.5000 Cr
0.5000 0.0000 0.5000 Cr
0.5000 0.5000 0.0000 Cr
0.5000 0.5000 0.5000 Cd
```

Summary:
Crystal system ... cubic
ΔE_f ... 1.925 eV per atom
Space-group type ... No. 221
Density of states at the Fermi level ... 14.51 states/eV per cell
DFT total energy ... -5.017 eV per atom

---

The following is a PBE-GGA calculation of a relaxed structure of PmPuMgBi, from Alexandria via LeMat-Bulk.

Structure (POSCAR):
```
PmPuMgBi
1.0
7.7425 0.0000 0.0000
0.0000 7.7425 0.0000
0.0000 0.0000 7.7425
Pm Pu Mg Bi
4 4 4 4
Direct
0.0000 0.0000 0.0000 Pm
0.0000 0.5000 0.5000 Pm
0.5000 0.0000 0.5000 Pm
0.5000 0.5000 0.0000 Pm
0.0000 0.0000 0.5000 Pu
0.0000 0.5000 0.0000 Pu
0.5000 0.0000 0.0000 Pu
0.5000 0.5000 0.5000 Pu
0.2500 0.2500 0.7500 Mg
0.2500 0.7500 0.2500 Mg
0.7500 0.2500 0.2500 Mg
0.7500 0.7500 0.7500 Mg
0.2500 0.2500 0.2500 Bi
0.2500 0.7500 0.7500 Bi
0.7500 0.2500 0.7500 Bi
0.7500 0.7500 0.2500 Bi
```

Summary:
Crystal system ... cubic
ΔE_f ... -0.189 eV per atom
Space-group type ... No. 216
Density of states at the Fermi level ... 49.24 states/eV per cell
DFT total energy ... -6.329 eV per atom

---

The following is a PBE-GGA calculation of a relaxed structure of NbSnOs3, from Alexandria via LeMat-Bulk.

Structure (POSCAR):
```
NbSnOs3
1.0
4.7247 0.0000 0.0000
0.0000 4.7247 0.0000
0.0000 0.0000 4.7247
Nb Sn Os
1 1 3
Direct
0.0000 0.0000 0.0000 Nb
0.5000 0.5000 0.5000 Sn
0.0000 0.5000 0.5000 Os
0.5000 0.0000 0.5000 Os
0.5000 0.5000 0.0000 Os
```

Summary:
Crystal system ... cubic
ΔE_f ... 2.418 eV per atom
Space-group type ... No. 221
Density of states at the Fermi level ... 4.19 states/eV per cell
DFT total energy ... -7.134 eV per atom